Entry from the Alexandria database: crystalline CdNi2H at its relaxed geometry (PBE-GGA).

ΔE to the lowest computed polymorph   72 meV/atom
DOS(E_F)   3.0 states/eV/cell
Total DFT energy (no corrections)   -3.886 eV/atom

Cell lengths 2.800, 2.800, 6.633 Å; angles 102.48, 102.48, 60.17 degrees
Atoms (fractional coordinates):
Cd: 0.000 0.000 0.000
Ni: 0.550 0.550 0.652
Ni: 0.781 0.781 0.348
H: 0.167 0.167 0.501